# YGeI2O

A relaxed YGeI2O crystal (PBE, the Alexandria database).

Cell lengths 6.197, 6.197, 4.164 Å; angles 90.00, 90.00, 90.00 degrees
Space group P4/mmm (No. 123)
Symmetry-distinct sites (fractional):
Y (0.000, 0.000, 0.000) [1 per cell]
Ge (0.500, 0.500, 0.500) [1 per cell]
I (0.000, 0.500, 0.000) [2 per cell]
O (0.000, 0.000, 0.500) [1 per cell]

Computed properties:
* uncorrected energy: -0.350 Ry per atom
* N(E_F): 0.648 states/eV/atom
* energy relative to the lowest polymorph listed for this composition: 0.0 meV/atom
* formation energy (no corrections): -4.65 eV per formula unit